This record from OQMD via LeMat-Bulk describes a geometry-optimized LaThPd structure. The functional is PBE.

* size of the total moment: 0.09 μB/cell
* E_tot: -6.057 eV per atom

Lattice parameters (Å, degrees): 5.0420 5.0420 5.0420 60.00 60.00 60.00
With the nearest neighbours (Å) after each atom.
Fractional coordinates of all 3 atoms:
1 Th 0.5000 0.5000 0.5000  4 Pd 3.09
2 Pd 0.7500 0.7500 0.7500  4 Th 3.09, 4 La 3.09
3 La 0.0000 0.0000 0.0000  4 Pd 3.09